1.
Below is a relaxed structure of CeHoTaO6, with properties calculated at the PBE level.

Calculated values
- E: -8.994 eV per atom
- Uncorrected formation energy: -3.2040 eV/atom

```
data_CeHoTaO6
_chemical_formula_sum 'Ce2 Ho2 Ta2 O12'
_cell_length_a 5.5520
_cell_length_b 5.5520
_cell_length_c 9.5372
_cell_angle_alpha 90.00
_cell_angle_beta 90.00
_cell_angle_gamma 120.00
_space_group_name_H-M_alt 'P -3 1 c'
_space_group_IT_number 163
_space_group_name_Hall '-P 3 2c'
loop_
_atom_site_label
_atom_site_type_symbol
_atom_site_fract_x
_atom_site_fract_y
_atom_site_fract_z
Ce1 Ce 0.0000 0.0000 0.0000
Ho1 Ho 0.3333 0.6667 0.2500
Ta1 Ta 0.3333 0.6667 0.7500
O1 O 0.0338 0.3607 0.6341
```



2.
Below is a relaxed structure of CeHo2TaO8, with properties calculated at the PBE level.

Calculated values
- E: -8.665 eV per atom
- Uncorrected formation energy: -3.1139 eV/atom

```
data_CeHo2TaO8
_chemical_formula_sum 'Ce2 Ho4 Ta2 O16'
_cell_length_a 7.048
_cell_length_b 7.195
_cell_length_c 6.891
_cell_angle_alpha 90.00
_cell_angle_beta 90.00
_cell_angle_gamma 90.00
_space_group_name_H-M_alt 'C m m m'
_space_group_IT_number 65
_space_group_name_Hall '-C 2 2'
loop_
_atom_site_label
_atom_site_type_symbol
_atom_site_fract_x
_atom_site_fract_y
_atom_site_fract_z
Ce1 Ce 0.000 0.000 0.000
Ho1 Ho 0.000 0.500 0.257
Ta1 Ta 0.000 0.000 0.500
O1 O 0.000 0.185 0.280
O2 O 0.196 0.500 0.000
O3 O 0.216 0.500 0.500
```



3.
Below is a relaxed structure of CeHoTeO6, with properties calculated at the PBE level.

Calculated values
- E: -7.252 eV per atom
- Uncorrected formation energy: -2.4297 eV/atom

```
data_CeHoTeO6
_chemical_formula_sum 'Ce2 Ho2 Te2 O12'
_cell_length_a 5.5937
_cell_length_b 5.5937
_cell_length_c 9.8056
_cell_angle_alpha 90.00
_cell_angle_beta 90.00
_cell_angle_gamma 120.00
_space_group_name_H-M_alt 'P -3 1 c'
_space_group_IT_number 163
_space_group_name_Hall '-P 3 2c'
loop_
_atom_site_label
_atom_site_type_symbol
_atom_site_fract_x
_atom_site_fract_y
_atom_site_fract_z
Ce1 Ce 0.0000 0.0000 0.0000
Ho1 Ho 0.3333 0.6667 0.2500
Te1 Te 0.3333 0.6667 0.7500
O1 O 0.0368 0.3704 0.6366
```



4.
Below is a relaxed structure of CeHoTlO2, with properties calculated at the PBE level.

Calculated values
- E: -6.994 eV per atom
- Uncorrected formation energy: -2.4352 eV/atom

```
data_CeHoTlO2
_chemical_formula_sum 'Ce2 Ho2 Tl2 O4'
_cell_length_a 3.922
_cell_length_b 3.922
_cell_length_c 13.406
_cell_angle_alpha 90.00
_cell_angle_beta 90.00
_cell_angle_gamma 90.00
_space_group_name_H-M_alt 'I 4 m m'
_space_group_IT_number 107
_space_group_name_Hall 'I 4 -2'
loop_
_atom_site_label
_atom_site_type_symbol
_atom_site_fract_x
_atom_site_fract_y
_atom_site_fract_z
Ce1 Ce 0.000 0.000 0.000
Ho1 Ho 0.000 0.000 0.671
Tl1 Tl 0.000 0.000 0.342
O1 O 0.000 0.500 0.090
```



5.
Below is a relaxed structure of CeHo2UO8, with properties calculated at the PBE level.

Calculated values
- E: -8.967 eV per atom
- Uncorrected formation energy: -3.4638 eV/atom

```
data_CeHo2UO8
_chemical_formula_sum 'Ce1 Ho2 U1 O8'
_cell_length_a 3.804
_cell_length_b 5.356
_cell_length_c 7.557
_cell_angle_alpha 90.00
_cell_angle_beta 90.00
_cell_angle_gamma 90.00
_space_group_name_H-M_alt 'P m m m'
_space_group_IT_number 47
loop_
_space_group_symop_operation_xyz
'x,y,z'
'-x,-y,-z'
'-x,-y,z'
'x,y,-z'
'x,-y,-z'
'-x,y,z'
'-x,y,-z'
'x,-y,z'
loop_
_atom_site_label
_atom_site_type_symbol
_atom_site_fract_x
_atom_site_fract_y
_atom_site_fract_z
Ce1 Ce 0.000 0.000 0.000
Ho1 Ho 0.500 0.500 0.250
U1 U 0.000 0.000 0.500
O1 O 0.000 0.241 0.269
O2 O 0.500 0.233 0.500
O3 O 0.500 0.250 0.000
```



6.
Below is a relaxed structure of CeHoUO6, with properties calculated at the PBE level.

Calculated values
- E: -9.076 eV per atom
- Uncorrected formation energy: -3.3485 eV/atom

```
data_CeHoUO6
_chemical_formula_sum 'Ce2 Ho2 U2 O12'
_cell_length_a 5.7932
_cell_length_b 5.7932
_cell_length_c 9.5888
_cell_angle_alpha 90.00
_cell_angle_beta 90.00
_cell_angle_gamma 120.00
_space_group_name_H-M_alt 'P -3 1 c'
_space_group_IT_number 163
_space_group_name_Hall '-P 3 2c'
loop_
_atom_site_label
_atom_site_type_symbol
_atom_site_fract_x
_atom_site_fract_y
_atom_site_fract_z
Ce1 Ce 0.0000 0.0000 0.0000
Ho1 Ho 0.3333 0.6667 0.2500
U1 U 0.3333 0.6667 0.7500
O1 O 0.0188 0.3547 0.6348
```



7.
Below is a relaxed structure of CeHo2Os2, with properties calculated at the PBE level.

Calculated values
- E above lowest polymorph: 114 meV per atom
- E: -7.684 eV per atom

```
data_CeHo2Os2
_chemical_formula_sum 'Ce4 Ho8 Os8'
_cell_length_a 10.097
_cell_length_b 6.678
_cell_length_c 7.043
_cell_angle_alpha 90.00
_cell_angle_beta 95.07
_cell_angle_gamma 90.00
_space_group_name_H-M_alt 'P 1 21/c 1'
_space_group_IT_number 14
loop_
_space_group_symop_operation_xyz
'x,y,z'
'-x,-y,-z'
'-x,y+1/2,-z+1/2'
'x,-y+1/2,z+1/2'
loop_
_atom_site_label
_atom_site_type_symbol
_atom_site_fract_x
_atom_site_fract_y
_atom_site_fract_z
Ce1 Ce 0.138 0.173 0.497
Ho1 Ho 0.208 0.663 0.610
Ho2 Ho 0.485 0.245 0.051
Os1 Os 0.020 0.560 0.289
Os2 Os 0.320 0.021 0.774
```



8.
Below is a relaxed structure of Ce2Ho2Os3, with properties calculated at the PBE level.

Calculated values
- E: -7.921 eV per atom

```
data_Ce2Ho2Os3
_chemical_formula_sum 'Ce4 Ho4 Os6'
_cell_length_a 10.827
_cell_length_b 4.794
_cell_length_c 6.879
_cell_angle_alpha 90.00
_cell_angle_beta 99.41
_cell_angle_gamma 90.00
_space_group_name_H-M_alt 'C 1 2/m 1'
_space_group_IT_number 12
loop_
_space_group_symop_operation_xyz
'x,y,z'
'-x,-y,-z'
'-x,y,-z'
'x,-y,z'
'x+1/2,y+1/2,z'
'-x+1/2,-y+1/2,-z'
'-x+1/2,y+1/2,-z'
'x+1/2,-y+1/2,z'
loop_
_atom_site_label
_atom_site_type_symbol
_atom_site_fract_x
_atom_site_fract_y
_atom_site_fract_z
Ce1 Ce 0.132 0.000 0.371
Ho1 Ho 0.141 0.500 0.934
Os1 Os 0.000 0.000 0.000
Os2 Os 0.168 0.000 0.721
```



9.
Below is a relaxed structure of CeHoOs, with properties calculated at the PBE level.

Calculated values
- E above lowest polymorph: 188 meV per atom
- E: -7.228 eV per atom

```
data_CeHoOs
_chemical_formula_sum 'Ce1 Ho1 Os1'
_cell_length_a 4.4676
_cell_length_b 4.4676
_cell_length_c 4.2134
_cell_angle_alpha 90.00
_cell_angle_beta 90.00
_cell_angle_gamma 120.00
_space_group_name_H-M_alt 'P 3 m 1'
_space_group_IT_number 156
loop_
_space_group_symop_operation_xyz
'x,y,z'
'-y,x-y,z'
'-x+y,-x,z'
'-y,-x,z'
'-x+y,y,z'
'x,x-y,z'
loop_
_atom_site_label
_atom_site_type_symbol
_atom_site_fract_x
_atom_site_fract_y
_atom_site_fract_z
Ce1 Ce 0.0000 0.0000 0.0000
Ho1 Ho 0.3333 0.6667 0.4597
Os1 Os 0.6667 0.3333 0.7571
```



10.
Below is a relaxed structure of CeHo3Os2, with properties calculated at the PBE level.

Calculated values
- E: -7.258 eV per atom

```
data_CeHo3Os2
_chemical_formula_sum 'Ce4 Ho12 Os8'
_cell_length_a 6.737
_cell_length_b 13.499
_cell_length_c 7.038
_cell_angle_alpha 90.00
_cell_angle_beta 90.00
_cell_angle_gamma 90.00
_space_group_name_H-M_alt 'I b a m'
_space_group_IT_number 72
_space_group_name_Hall '-I 2 2c'
loop_
_atom_site_label
_atom_site_type_symbol
_atom_site_fract_x
_atom_site_fract_y
_atom_site_fract_z
Ce1 Ce 0.000 0.000 0.000
Ho1 Ho 0.000 0.241 0.250
Ho2 Ho 0.000 0.500 0.250
Os1 Os 0.240 0.372 0.000
```



11.
Below is a relaxed structure of Ce2Ho3Os2, with properties calculated at the PBE level.

Calculated values
- E: -7.083 eV per atom

```
data_Ce2Ho3Os2
_chemical_formula_sum 'Ce4 Ho6 Os4'
_cell_length_a 11.937
_cell_length_b 3.840
_cell_length_c 8.655
_cell_angle_alpha 90.00
_cell_angle_beta 112.68
_cell_angle_gamma 90.00
_space_group_name_H-M_alt 'C 1 2/m 1'
_space_group_IT_number 12
loop_
_space_group_symop_operation_xyz
'x,y,z'
'-x,-y,-z'
'-x,y,-z'
'x,-y,z'
'x+1/2,y+1/2,z'
'-x+1/2,-y+1/2,-z'
'-x+1/2,y+1/2,-z'
'x+1/2,-y+1/2,z'
loop_
_atom_site_label
_atom_site_type_symbol
_atom_site_fract_x
_atom_site_fract_y
_atom_site_fract_z
Ce1 Ce 0.167 0.000 0.310
Ho1 Ho 0.000 0.500 0.500
Ho2 Ho 0.122 0.500 0.923
Os1 Os 0.189 0.000 0.724
```



12.
Below is a relaxed structure of Ce4Ho3Os4, with properties calculated at the PBE level.

Calculated values
- E: -7.634 eV per atom

```
data_Ce4Ho3Os4
_chemical_formula_sum 'Ce8 Ho6 Os8'
_cell_length_a 3.692
_cell_length_b 9.314
_cell_length_c 15.007
_cell_angle_alpha 90.00
_cell_angle_beta 90.00
_cell_angle_gamma 90.00
_space_group_name_H-M_alt 'I m m m'
_space_group_IT_number 71
_space_group_name_Hall '-I 2 2'
loop_
_atom_site_label
_atom_site_type_symbol
_atom_site_fract_x
_atom_site_fract_y
_atom_site_fract_z
Ce1 Ce 0.000 0.198 0.164
Ho1 Ho 0.000 0.000 0.391
Ho2 Ho 0.000 0.500 0.500
Os1 Os 0.000 0.296 0.000
Os2 Os 0.000 0.500 0.285
```



13.
Below is a relaxed structure of CeHo2Os, with properties calculated at the PBE level.

Calculated values
- E above lowest polymorph: 486 meV per atom
- E: -6.338 eV per atom

```
data_CeHo2Os
_chemical_formula_sum 'Ce3 Ho6 Os3'
_cell_length_a 3.2800
_cell_length_b 3.2800
_cell_length_c 32.5222
_cell_angle_alpha 90.00
_cell_angle_beta 90.00
_cell_angle_gamma 120.00
_space_group_name_H-M_alt 'R -3 m'
_space_group_IT_number 166
_space_group_name_Hall '-R 3 2"'
loop_
_atom_site_label
_atom_site_type_symbol
_atom_site_fract_x
_atom_site_fract_y
_atom_site_fract_z
Ce1 Ce 0.0000 0.0000 0.0000
Ho1 Ho 0.0000 0.0000 0.1019
Os1 Os 0.0000 0.0000 0.5000
```



14.
Below is a relaxed structure of CeHoOs, with properties calculated at the PBE level.

Calculated values
- E above lowest polymorph: 25 meV per atom
- E: -7.390 eV per atom

```
data_CeHoOs
_chemical_formula_sum 'Ce4 Ho4 Os4'
_cell_length_a 6.784
_cell_length_b 6.784
_cell_length_c 6.784
_cell_angle_alpha 90.00
_cell_angle_beta 90.00
_cell_angle_gamma 90.00
_space_group_name_H-M_alt 'F -4 3 m'
_space_group_IT_number 216
_space_group_name_Hall 'F -4 2 3'
loop_
_atom_site_label
_atom_site_type_symbol
_atom_site_fract_x
_atom_site_fract_y
_atom_site_fract_z
Ce1 Ce 0.000 0.000 0.000
Ho1 Ho 0.000 0.000 0.500
Os1 Os 0.250 0.250 0.750
```



15.
Below is a relaxed structure of CeHo2Os2, with properties calculated at the PBE level.

Calculated values
- E above lowest polymorph: 0 meV per atom
- E: -7.797 eV per atom

```
data_CeHo2Os2
_chemical_formula_sum 'Ce2 Ho4 Os4'
_cell_length_a 4.323
_cell_length_b 5.855
_cell_length_c 8.962
_cell_angle_alpha 90.00
_cell_angle_beta 90.00
_cell_angle_gamma 90.00
_space_group_name_H-M_alt 'I m m m'
_space_group_IT_number 71
_space_group_name_Hall '-I 2 2'
loop_
_atom_site_label
_atom_site_type_symbol
_atom_site_fract_x
_atom_site_fract_y
_atom_site_fract_z
Ce1 Ce 0.000 0.000 0.000
Ho1 Ho 0.000 0.500 0.195
Os1 Os 0.000 0.229 0.500
```



16.
Below is a relaxed structure of CeHoOs4, with properties calculated at the PBE level.

Calculated values
- E: -9.495 eV per atom

```
data_CeHoOs4
_chemical_formula_sum 'Ce4 Ho4 Os16'
_cell_length_a 7.605
_cell_length_b 7.605
_cell_length_c 7.605
_cell_angle_alpha 90.00
_cell_angle_beta 90.00
_cell_angle_gamma 90.00
_space_group_name_H-M_alt 'F -4 3 m'
_space_group_IT_number 216
_space_group_name_Hall 'F -4 2 3'
loop_
_atom_site_label
_atom_site_type_symbol
_atom_site_fract_x
_atom_site_fract_y
_atom_site_fract_z
Ce1 Ce 0.000 0.000 0.000
Ho1 Ho 0.250 0.250 0.750
Os1 Os 0.125 0.125 0.375
```



17.
Below is a relaxed structure of Ce3HoOs8, with properties calculated at the PBE level.

Calculated values
- E: -9.602 eV per atom

```
data_Ce3HoOs8
_chemical_formula_sum 'Ce9 Ho3 Os24'
_cell_length_a 5.3832
_cell_length_b 5.3832
_cell_length_c 26.3963
_cell_angle_alpha 90.00
_cell_angle_beta 90.00
_cell_angle_gamma 120.00
_space_group_name_H-M_alt 'R 3 m'
_space_group_IT_number 160
_space_group_name_Hall 'R 3 -2"'
loop_
_atom_site_label
_atom_site_type_symbol
_atom_site_fract_x
_atom_site_fract_y
_atom_site_fract_z
Ce1 Ce 0.0000 0.0000 0.0000
Ce2 Ce 0.0000 0.0000 0.1249
Ce3 Ce 0.0000 0.0000 0.6259
Ho1 Ho 0.0000 0.0000 0.5010
Os1 Os 0.0000 0.0000 0.3133
Os2 Os 0.0000 0.0000 0.8135
Os3 Os 0.0012 0.5006 0.0639
Os4 Os 0.1676 0.3353 0.8956
```



18.
Below is a relaxed structure of CeHo2Os, with properties calculated at the PBE level.

Calculated values
- E above lowest polymorph: 36 meV per atom
- E: -6.788 eV per atom

```
data_CeHo2Os
_chemical_formula_sum 'Ce4 Ho8 Os4'
_cell_length_a 3.849
_cell_length_b 12.052
_cell_length_c 9.259
_cell_angle_alpha 90.00
_cell_angle_beta 90.00
_cell_angle_gamma 90.00
_space_group_name_H-M_alt 'C m c m'
_space_group_IT_number 63
_space_group_name_Hall '-C 2c 2'
loop_
_atom_site_label
_atom_site_type_symbol
_atom_site_fract_x
_atom_site_fract_y
_atom_site_fract_z
Ce1 Ce 0.000 0.079 0.250
Ho1 Ho 0.000 0.355 0.068
Os1 Os 0.000 0.265 0.750
```



19.
Below is a relaxed structure of CeHo2Os, with properties calculated at the PBE level.

Calculated values
- E above lowest polymorph: 0 meV per atom
- E: -6.824 eV per atom

```
data_CeHo2Os
_chemical_formula_sum 'Ce4 Ho8 Os4'
_cell_length_a 7.212
_cell_length_b 9.356
_cell_length_c 6.361
_cell_angle_alpha 90.00
_cell_angle_beta 90.00
_cell_angle_gamma 90.00
_space_group_name_H-M_alt 'P n m a'
_space_group_IT_number 62
loop_
_space_group_symop_operation_xyz
'x,y,z'
'-x,-y,-z'
'-x+1/2,-y,z+1/2'
'x+1/2,y,-z+1/2'
'x+1/2,-y+1/2,-z+1/2'
'-x+1/2,y+1/2,z+1/2'
'-x,y+1/2,-z'
'x,-y+1/2,z'
loop_
_atom_site_label
_atom_site_type_symbol
_atom_site_fract_x
_atom_site_fract_y
_atom_site_fract_z
Ce1 Ce 0.050 0.250 0.146
Ho1 Ho 0.172 0.065 0.669
Os1 Os 0.131 0.750 0.474
```



20.
Below is a relaxed structure of CeHoOs, with properties calculated at the PBE level.

Calculated values
- E above lowest polymorph: 0 meV per atom
- E: -7.416 eV per atom

```
data_CeHoOs
_chemical_formula_sum 'Ce2 Ho2 Os2'
_cell_length_a 5.907
_cell_length_b 4.346
_cell_length_c 6.335
_cell_angle_alpha 90.00
_cell_angle_beta 108.62
_cell_angle_gamma 90.00
_space_group_name_H-M_alt 'P 1 21/m 1'
_space_group_IT_number 11
loop_
_space_group_symop_operation_xyz
'x,y,z'
'-x,-y,-z'
'-x,y+1/2,-z'
'x,-y+1/2,z'
loop_
_atom_site_label
_atom_site_type_symbol
_atom_site_fract_x
_atom_site_fract_y
_atom_site_fract_z
Ce1 Ce 0.006 0.250 0.331
Ho1 Ho 0.426 0.750 0.192
Os1 Os 0.135 0.250 0.923
```



Number 1: M_tot 0.00 μB per formula unit. Number 2: M_tot 0.74 μB per formula unit. Number 3: M_tot 1.04 μB per formula unit. Number 4: M_tot 0.22 μB per formula unit. Number 5: M_tot 0.00 μB per formula unit. Number 6: M_tot 1.00 μB per formula unit. Number 7: M_tot 0.00 μB per formula unit. Number 8: M_tot 0.00 μB per formula unit. Number 9: M_tot 0.13 μB per formula unit. Number 10: M_tot 0.23 μB per formula unit. Number 11: M_tot 1.07 μB per formula unit. Number 12: M_tot 0.00 μB per formula unit. Number 13: M_tot 0.32 μB per formula unit. Number 14: M_tot 0.60 μB per formula unit. Number 15: M_tot 0.00 μB per formula unit. Number 16: M_tot 0.00 μB per formula unit. Number 17: M_tot 0.00 μB per formula unit. Number 18: M_tot 0.56 μB per formula unit. Number 19: M_tot 0.44 μB per formula unit. Number 20: M_tot 0.20 μB per formula unit.